The following is a PBE-GGA calculation of a geometry-optimized TaCoHg2 structure, from Alexandria via LeMat-Bulk.

Structure (POSCAR):
```
TaCoHg2
1.0
-0.6971 2.3527 1.7411
0.5267 -1.6597 2.4537
7.6977 2.3348 -0.0731
Hg Ta Co
2 1 1
direct
0.0000 0.0000 0.9575
0.5000 0.5000 0.2712
0.0000 0.0000 0.5511
0.5000 0.5000 0.7201
```

Values from the calculation:
Formation enthalpy at 0 K: 0.1932 eV per atom